{
  "formula": "Tl2NiPt",
  "functional": "PBE",
  "state": "relaxed",
  "lattice_angstrom": [[-1.835, 0.910, 2.700], [-1.832, -2.771, -0.311], [4.188, -3.210, 3.928]],
  "species": ["Ni", "Pt", "Tl", "Tl"],
  "fractional_positions": [[0.500, 0.500, 0.250], [0.500, 0.500, 0.750], [0.000, 0.000, 0.011], [0.000, 0.000, 0.489]],
  "crystal_system": "orthorhombic",
  "formation_energy_mev_per_atom": 238,
  "spacegroup": "Pmmm (47)"
}